Density functional theory data (PBE) for a geometry-optimized TlPbF structure.

```
data_TlPbF
_chemical_formula_sum 'Tl2 Pb2 F2'
_cell_length_a 3.739
_cell_length_b 3.595
_cell_length_c 14.352
_cell_angle_alpha 90.00
_cell_angle_beta 90.00
_cell_angle_gamma 121.34
_space_group_name_H-M_alt 'P 1'
_space_group_IT_number 1
_space_group_name_Hall 'P 1'
loop_
_atom_site_label
_atom_site_type_symbol
_atom_site_fract_x
_atom_site_fract_y
_atom_site_fract_z
_atom_site_occupancy
Pb1 Pb 0.448 0.897 0.000 1
Pb2 Pb 0.428 0.857 0.500 1
F1 F 0.110 0.221 0.095 1
F2 F 0.110 0.221 0.905 1
Tl1 Tl 0.785 0.569 0.304 1
Tl2 Tl 0.785 0.569 0.696 1
```

Summary:
Formation energy (no corrections) (eV per atom): -1.017
V (Å³/cell): 164.79
Symmetry: Amm2 (38)
Excess energy over the best structure of this formula in the dataset (eV/atom): 0.0000